Crystalline Ca2GaAu at its relaxed geometry, computed with PBE.

Summary:
Energy relative to the elements: -0.291 eV per atom

Unit cell a=8.071 b=8.071 c=6.960 alpha=90.00 beta=90.00 gamma=90.00
Element x y z (fractional)
Ca 0.236 0.250 0.125
Ca 0.250 0.736 0.375
Ca 0.250 0.764 0.875
Ca 0.264 0.250 0.625
Ca 0.736 0.750 0.625
Ca 0.750 0.236 0.875
Ca 0.750 0.264 0.375
Ca 0.764 0.750 0.125
Ga 0.000 0.000 0.500
Ga 0.000 0.500 0.750
Ga 0.500 0.000 0.250
Ga 0.500 0.500 0.000
Au 0.000 0.000 0.000
Au 0.000 0.500 0.250
Au 0.500 0.000 0.750
Au 0.500 0.500 0.500

=====

Crystalline Ce4Ga12Ni at its relaxed geometry, computed with PBE.

Summary:
Energy relative to the elements: -0.554 eV per atom

Unit cell a=7.547 b=7.547 c=7.547 alpha=109.47 beta=109.47 gamma=109.47
Element x y z (fractional)
Ce 0.000 0.000 0.500
Ce 0.000 0.500 0.000
Ce 0.500 0.000 0.000
Ce 0.500 0.500 0.500
Ga 0.000 0.289 0.289
Ga 0.000 0.711 0.711
Ga 0.250 0.500 0.750
Ga 0.250 0.750 0.500
Ga 0.289 0.000 0.289
Ga 0.289 0.289 0.000
Ga 0.500 0.250 0.750
Ga 0.500 0.750 0.250
Ga 0.711 0.000 0.711
Ga 0.711 0.711 0.000
Ga 0.750 0.250 0.500
Ga 0.750 0.500 0.250
Ni 0.000 0.000 0.000

=====

Crystalline Mg7As6 at its relaxed geometry, computed with PBE.

Summary:
Energy relative to the elements: -0.062 eV per atom

Unit cell a=10.107 b=10.107 c=10.107 alpha=33.84 beta=33.84 gamma=33.84
Element x y z (fractional)
Mg 0.000 0.000 0.000
Mg 0.075 0.075 0.571
Mg 0.075 0.571 0.075
Mg 0.429 0.925 0.925
Mg 0.571 0.075 0.075
Mg 0.925 0.429 0.925
Mg 0.925 0.925 0.429
As 0.166 0.166 0.166
As 0.316 0.316 0.316
As 0.454 0.454 0.454
As 0.546 0.546 0.546
As 0.684 0.684 0.684
As 0.834 0.834 0.834